Below is a relaxed Tl2SnHg2 crystal, with properties calculated at the PBE level.

```
Tl2SnHg2
1.0
-1.2072 -1.3223 3.6660
-2.0927 -3.0176 -1.7776
5.9057 -7.7005 1.4374
Tl Sn Hg
2 1 2
direct
0.5981 0.5981 0.8039
0.4019 0.4019 0.1961
0.0000 0.0000 0.0000
0.7500 0.2500 0.5000
0.2500 0.7500 0.5000
```

Output
space-group type = I4/mmm
electronic total energy = -8.8 eV per formula unit
ΔE to the lowest computed polymorph = 0.36 eV/f.u.
DFT formation energy = 0.11 eV/atom
total moment = 0.00 μB/f.u.

***

Below is a relaxed Tb5SmDy8 crystal, with properties calculated at the PBE level.

```
Tb5SmDy8
1.0
8.0444 0.0000 -2.5132
-4.1333 6.7236 -2.9558
0.2223 0.0000 8.4249
Tb Dy Sm
5 8 1
direct
0.0367 0.3213 0.1356
0.2847 0.0989 0.9633
0.8143 0.6787 0.7153
0.8644 0.9011 0.1857
0.5000 0.0000 0.5000
0.3401 0.2614 0.4273
0.7239 0.2525 0.3294
0.0770 0.7475 0.4714
0.1659 0.7386 0.0787
0.9213 0.0872 0.6599
0.6706 0.3944 0.9230
0.5286 0.6056 0.2761
0.5727 0.9128 0.8341
0.2500 0.5000 0.7500
```

Output
space-group type = I-4
electronic total energy = -61.2 eV per formula unit
DFT formation energy = 0.25 eV/atom
total moment = 0.00 μB/f.u.

***

Below is a relaxed NaI2BrO crystal, with properties calculated at the PBE level.

```
NaI2BrO
1.0
5.9573 0.0000 0.0000
0.0000 5.9573 0.0000
0.0000 0.0000 4.2159
Na I O Br
1 2 1 1
direct
0.0000 0.0000 0.0000
0.5000 0.0000 0.0000
0.0000 0.5000 0.0000
0.0000 0.0000 0.5000
0.5000 0.5000 0.5000
```

Output
space-group type = P4/mmm
electronic total energy = -9.1 eV per formula unit
ΔE to the lowest computed polymorph = 2.13 eV/f.u.
ΔE_f (raw) = 0.38 eV per atom
total moment = 0.63 μB/f.u.

***

Below is a relaxed Ac2CdSi3Pt4 crystal, with properties calculated at the PBE level.

```
Ac2CdSi3Pt4
1.0
-3.2008 2.9508 -0.7618
-2.0395 -2.8950 -2.6442
-5.3344 -3.6831 8.1469
Pt Si Ac Cd
4 3 2 1
direct
0.0000 0.0000 0.0000
0.5000 0.5000 0.0000
0.0000 0.5000 0.3504
0.5000 0.0000 0.6496
0.5000 0.0000 0.8822
0.0000 0.5000 0.1178
0.0000 0.0000 0.5000
0.5000 0.0000 0.2473
0.0000 0.5000 0.7527
0.5000 0.5000 0.5000
```

Output
space-group type = P-4m2
electronic total energy = -58.9 eV per formula unit
ΔE_f (raw) = -0.94 eV per atom
total moment = 0.00 μB/f.u.

***

Below is a relaxed LaPr5TlIn2 crystal, with properties calculated at the PBE level.

```
LaPr5TlIn2
1.0
-1.8333 -5.1022 -6.1245
7.5889 -3.0402 0.2610
-5.6231 -2.2584 9.0266
In Pr La Tl
4 10 2 2
direct
0.6190 0.1190 0.0000
0.8810 0.6190 0.0000
0.1190 0.3810 0.0000
0.3810 0.8810 0.0000
0.3184 0.8184 0.2548
0.5637 0.6816 0.7452
0.8184 0.9363 0.2548
0.5000 0.5000 0.0000
0.9363 0.4363 0.2548
0.6816 0.1816 0.7452
0.4363 0.3184 0.2548
0.0000 0.0000 0.0000
0.0637 0.5637 0.7452
0.1816 0.0637 0.7452
0.2500 0.2500 0.5000
0.7500 0.7500 0.5000
0.7500 0.2500 0.5000
0.2500 0.7500 0.5000
```

Output
space-group type = I4/mcm
electronic total energy = -38.3 eV per formula unit
DFT formation energy = -0.18 eV/atom
total moment = 0.00 μB/f.u.

***

Below is a relaxed In2IrSe crystal, with properties calculated at the PBE level.

```
In2IrSe
1.0
4.9172 0.0201 0.0004
-1.0058 4.8133 0.0004
-0.0005 -0.0007 3.3274
Se In Ir
1 2 1
direct
0.0000 0.5000 0.5000
0.5000 0.5000 0.0000
0.0000 0.0000 0.0000
0.5000 0.0000 0.5000
```

Output
space-group type = Cmmm
electronic total energy = -17.2 eV per formula unit
ΔE_f (raw) = 0.16 eV per atom
total moment = 0.00 μB/f.u.

***

Below is a relaxed GaBH4 crystal, with properties calculated at the PBE level.

```
GaBH4
1.0
4.4115 0.0000 0.0000
0.0000 4.6518 0.0000
0.0000 0.0000 6.3297
H Ga B
8 2 2
direct
0.6283 0.0332 0.0000
0.8009 0.7513 0.3416
0.3009 0.2487 0.1584
0.6262 0.4669 0.0000
0.1283 0.9668 0.5000
0.8009 0.7513 0.6584
0.1262 0.5331 0.5000
0.3009 0.2487 0.8416
0.5504 0.2515 0.5000
0.0504 0.7485 0.0000
0.4651 0.2493 0.0000
0.9651 0.7507 0.5000
```

Output
space-group type = Pmn2_1
electronic total energy = -22.9 eV per formula unit
ΔE to the lowest computed polymorph = 0.00 eV/f.u.
total moment = 0.00 μB/f.u.

***

Below is a relaxed VHN2 crystal, with properties calculated at the PBE level.

```
VHN2
1.0
4.1480 0.0000 0.0000
0.0000 4.1480 0.0000
2.0740 2.0740 4.2426
N H V
4 2 2
direct
0.8750 0.8714 0.7500
0.3750 0.3786 0.7500
0.1286 0.6250 0.2500
0.6214 0.1250 0.2500
0.5000 0.5000 0.0000
0.2500 0.7500 0.5000
0.7500 0.2500 0.5000
0.0000 0.0000 0.0000
```

Output
space-group type = I-42d
electronic total energy = -28.5 eV per formula unit
ΔE to the lowest computed polymorph = 1.90 eV/f.u.
total moment = 0.00 μB/f.u.

***

Below is a relaxed Ag2HgIr crystal, with properties calculated at the PBE level.

```
Ag2HgIr
1.0
-0.6517 0.9612 2.9532
-0.5386 -4.4311 1.3233
4.6388 -0.2352 1.1002
Ir Hg Ag
1 1 2
direct
0.0000 0.5000 0.5000
0.5000 0.0000 0.5000
0.5000 0.5000 0.0000
0.0000 0.0000 0.0000
```

Output
space-group type = Pmmm
electronic total energy = -13.5 eV per formula unit
DFT formation energy = 0.34 eV/atom
total moment = 0.00 μB/f.u.

***

Below is a relaxed ScPb3 crystal, with properties calculated at the PBE level.

```
ScPb3
1.0
-2.6406 -1.0525 2.1303
3.2634 -4.0609 2.0387
1.8420 3.4929 4.0091
Sc Pb
1 3
direct
0.0000 0.5000 0.3776
0.5000 0.5000 0.8831
0.0000 0.0000 0.9551
0.5000 0.0000 0.4508
```

Output
space-group type = Pmm2
electronic total energy = -17.8 eV per formula unit
DFT formation energy = -0.09 eV/atom
total moment = 0.00 μB/f.u.

***

Below is a relaxed TcPd4Pt7 crystal, with properties calculated at the PBE level.

```
TcPd4Pt7
1.0
-2.3944 0.4385 1.3581
0.9005 -2.6023 -0.4326
13.6731 0.7649 23.8603
Pt Pd Tc
7 4 1
direct
0.6667 0.3333 0.8331
0.0000 0.0000 0.0000
0.0000 0.0000 0.2519
0.6667 0.3333 0.5797
0.0000 0.0000 0.7481
0.3333 0.6667 0.1669
0.3333 0.6667 0.4203
0.6667 0.3333 0.3357
0.6667 0.3333 0.0835
0.3333 0.6667 0.9165
0.3333 0.6667 0.6643
0.0000 0.0000 0.5000
```

Output
space-group type = P-3m1
electronic total energy = -74.0 eV per formula unit
DFT formation energy = -0.05 eV/atom
total moment = 0.00 μB/f.u.

***

Below is a relaxed CoS2NCl crystal, with properties calculated at the PBE level.

```
CoS2NCl
1.0
4.3165 0.0000 0.0000
0.0000 4.3165 0.0000
0.0000 0.0000 4.5239
S Cl N Co
2 1 1 1
direct
0.0000 0.5000 0.0000
0.5000 0.0000 0.0000
0.0000 0.0000 0.5000
0.5000 0.5000 0.5000
0.0000 0.0000 0.0000
```

Output
space-group type = P4/mmm
electronic total energy = -18.0 eV per formula unit
ΔE to the lowest computed polymorph = 3.55 eV/f.u.
ΔE_f (raw) = 1.51 eV per atom
total moment = 0.00 μB/f.u.

***

Below is a relaxed Pr8Zn2Ga crystal, with properties calculated at the PBE level.

```
Pr8Zn2Ga
1.0
4.8983 0.0000 -1.4908
-1.2848 7.4330 -4.2216
0.0615 0.0928 8.9947
Ga Pr Zn
1 8 2
direct
0.5000 0.0000 0.0000
0.1354 0.1354 0.2707
0.0000 0.6814 0.0000
0.6606 0.4353 0.3212
0.8646 0.8646 0.7293
0.6606 0.8859 0.3212
0.0000 0.3186 0.0000
0.3394 0.1141 0.6788
0.3394 0.5647 0.6788
0.8061 0.3060 0.6121
0.1939 0.6940 0.3879
```

Output
space-group type = Immm
electronic total energy = -45.2 eV per formula unit
ΔE to the lowest computed polymorph = 0.53 eV/f.u.
DFT formation energy = -0.12 eV/atom
total moment = 0.00 μB/f.u.

***

Below is a relaxed Tb2PmTaN4 crystal, with properties calculated at the PBE level.

```
Tb2PmTaN4
1.0
3.3907 0.0000 0.0000
0.0000 5.9361 0.1340
0.0000 -2.0459 5.5136
Tb N Pm Ta
2 4 1 1
direct
0.5000 0.0000 0.5000
0.0000 0.5000 0.5000
0.5000 0.7786 0.7727
0.5000 0.2214 0.2273
0.0000 0.7770 0.2355
0.0000 0.2230 0.7645
0.5000 0.5000 0.0000
0.0000 0.0000 0.0000
```

Output
space-group type = P2/m
electronic total energy = -70.5 eV per formula unit
ΔE_f (raw) = -1.42 eV per atom
total moment = 0.00 μB/f.u.

***

Below is a relaxed K5Sn2Pb4 crystal, with properties calculated at the PBE level.

```
K5Sn2Pb4
1.0
-4.6707 1.6490 0.7137
-2.6802 -5.9918 -3.6961
3.5344 -3.0267 12.5790
Pb K Sn
4 5 2
direct
0.7299 0.5768 0.4598
0.9731 0.2799 0.9462
0.0269 0.7201 0.0538
0.2701 0.4232 0.5402
0.8178 0.1528 0.6356
0.1822 0.8472 0.3644
0.8796 0.7069 0.7592
0.1204 0.2931 0.2408
0.5000 0.0000 0.0000
0.5606 0.5230 0.1212
0.4394 0.4770 0.8788
```

Output
space-group type = C2/m
electronic total energy = -29.6 eV per formula unit
DFT formation energy = -0.12 eV/atom
total moment = 0.00 μB/f.u.

***

Below is a relaxed SrPtCl2 crystal, with properties calculated at the PBE level.

```
SrPtCl2
1.0
3.8911 0.0000 0.0000
0.0000 5.6319 0.0000
0.0000 0.0000 4.1397
Sr Cl Pt
1 2 1
direct
0.0000 0.5000 0.5000
0.5000 0.5000 0.0000
0.0000 0.0000 0.0000
0.5000 0.0000 0.5000
```

Output
space-group type = Pmmm
electronic total energy = -15.1 eV per formula unit
ΔE to the lowest computed polymorph = 1.64 eV/f.u.
ΔE_f (raw) = -0.91 eV per atom
total moment = 0.00 μB/f.u.

***

Below is a relaxed NdHo2Cu crystal, with properties calculated at the PBE level.

```
NdHo2Cu
1.0
3.5123 0.0000 0.0000
0.0000 3.5123 0.0000
0.0000 0.0000 8.6990
Nd Ho Cu
1 2 1
direct
0.5000 0.5000 0.5000
0.0000 0.0000 0.8083
0.0000 0.0000 0.1917
0.5000 0.5000 0.0000
```

Output
space-group type = P4/mmm
electronic total energy = -18.4 eV per formula unit
ΔE to the lowest computed polymorph = 0.00 eV/f.u.
DFT formation energy = -0.11 eV/atom
total moment = 0.00 μB/f.u.

***

Below is a relaxed TbDy6Sc crystal, with properties calculated at the PBE level.

```
TbDy6Sc
1.0
6.2802 -0.2995 2.3001
-0.1990 6.3934 0.7760
0.9811 0.7131 6.6793
Dy Sc Tb
6 1 1
direct
0.4157 0.2618 0.4930
0.0968 0.7732 0.4669
0.5577 0.7529 0.9946
0.5843 0.7382 0.5070
0.4423 0.2471 0.0054
0.9032 0.2268 0.5331
0.0000 0.0000 0.0000
0.0000 0.5000 0.0000
```

Output
space-group type = P-1
electronic total energy = -36.9 eV per formula unit
ΔE to the lowest computed polymorph = 1.40 eV/f.u.
DFT formation energy = 0.21 eV/atom
total moment = 0.00 μB/f.u.

***

Below is a relaxed Cu4Os6O19 crystal, with properties calculated at the PBE level.

```
Cu4Os6O19
1.0
-6.5763 3.9141 1.8438
-1.0323 -3.8011 -6.8156
1.6405 -5.1968 5.6805
Cu O Os
4 19 6
direct
0.0000 0.7560 0.0000
0.7560 0.0000 0.0000
0.0000 0.0000 0.7560
0.2440 0.2440 0.2440
0.3574 0.6550 0.7182
0.3450 0.7023 0.0632
0.0000 0.3283 0.3282
0.7024 0.0632 0.3450
0.6717 0.6717 0.0000
0.6391 0.2818 0.9368
0.0000 0.6718 0.6718
0.2818 0.9368 0.6391
0.7182 0.3574 0.6550
0.2976 0.6426 0.3609
0.0000 0.0000 0.0000
0.6426 0.3609 0.2977
0.0632 0.3450 0.7024
0.9368 0.6391 0.2818
0.6550 0.7182 0.3574
0.3609 0.2976 0.6426
0.3283 0.0000 0.3282
0.6717 0.0000 0.6718
0.3283 0.3282 0.0000
0.5000 0.8610 0.3610
0.5000 0.1390 0.6390
0.8610 0.3610 0.5000
0.1390 0.6390 0.5000
0.3610 0.5000 0.8610
0.6390 0.5000 0.1390
```

Output
space-group type = I23
electronic total energy = -198.0 eV per formula unit
ΔE_f (raw) = -0.69 eV per atom
total moment = 1.76 μB/f.u.

***

Below is a relaxed Sr2LaSbH crystal, with properties calculated at the PBE level.

```
Sr2LaSbH
1.0
5.2287 0.0000 0.0000
0.0000 5.2287 0.0000
0.0000 0.0000 5.0897
Sr Sb H La
2 1 1 1
direct
0.5000 0.0000 0.0000
0.0000 0.5000 0.0000
0.5000 0.5000 0.5000
0.0000 0.0000 0.0000
0.0000 0.0000 0.5000
```

Output
space-group type = P4/mmm
electronic total energy = -18.1 eV per formula unit
total moment = 1.63 μB/f.u.

***

Below is a relaxed TbPmRuO6 crystal, with properties calculated at the PBE level.

```
TbPmRuO6
1.0
5.5338 0.0000 0.0000
-2.7669 4.7924 0.0000
0.0000 0.0000 9.7805
O Ru Pm Tb
12 2 2 2
direct
0.9560 0.6251 0.3626
0.6691 0.6251 0.1374
0.3309 0.3749 0.8626
0.0440 0.3749 0.6374
0.3749 0.0440 0.1374
0.6251 0.9560 0.8626
0.3309 0.9560 0.6374
0.9560 0.3309 0.1374
0.0440 0.6691 0.8626
0.6691 0.0440 0.3626
0.3749 0.3309 0.3626
0.6251 0.6691 0.6374
0.6667 0.3333 0.2500
0.3333 0.6667 0.7500
0.0000 0.0000 0.0000
0.0000 0.0000 0.5000
0.3333 0.6667 0.2500
0.6667 0.3333 0.7500
```

Output
space-group type = P-31c
electronic total energy = -68.5 eV per formula unit
ΔE_f (raw) = -2.24 eV per atom
total moment = 2.01 μB/f.u.

***

Below is a relaxed TaCrCo2 crystal, with properties calculated at the PBE level.

```
TaCrCo2
1.0
2.9208 0.0000 0.0000
0.0000 3.1626 0.0000
0.0000 0.0000 5.5316
Co Ta Cr
2 1 1
direct
0.0000 0.0000 0.0117
0.5000 0.5000 0.2648
0.5000 0.5000 0.7645
0.0000 0.0000 0.4590
```

Output
space-group type = Pmm2
electronic total energy = -35.5 eV per formula unit
ΔE to the lowest computed polymorph = 0.35 eV/f.u.
DFT formation energy = 0.05 eV/atom
total moment = 0.78 μB/f.u.